Computed, not measured: a geometry-optimized ZnRe3 structure at the PBE-GGA level of DFT.

a b c (Å): 4.907 4.907 4.907
angles (deg): 90.00 90.00 90.00
Fractional coordinates of all 8 atoms:
Zn 0.000 0.000 0.000
Zn 0.500 0.500 0.500
Re 0.000 0.250 0.500
Re 0.000 0.750 0.500
Re 0.250 0.500 0.000
Re 0.500 0.000 0.250
Re 0.500 0.000 0.750
Re 0.750 0.500 0.000

**Total DFT energy (no corrections)**: -0.344 hartree per atom
**Energy of formation**: 0.28 eV/atom
**V**: 14.77 Å³/atom



Computed, not measured: a geometry-optimized ZnSnPd14 structure at the PBE-GGA level of DFT.

a b c (Å): 5.671 5.671 7.729
angles (deg): 90.00 90.00 90.00
Fractional coordinates of all 16 atoms:
Zn 0.000 0.000 0.000
Sn 0.500 0.500 0.000
Pd 0.000 0.000 0.500
Pd 0.000 0.500 0.000
Pd 0.000 0.500 0.500
Pd 0.248 0.248 0.248
Pd 0.248 0.248 0.752
Pd 0.248 0.752 0.248
Pd 0.248 0.752 0.752
Pd 0.500 0.000 0.000
Pd 0.500 0.000 0.500
Pd 0.500 0.500 0.500
Pd 0.752 0.248 0.248
Pd 0.752 0.248 0.752
Pd 0.752 0.752 0.248
Pd 0.752 0.752 0.752

**Total DFT energy (no corrections)**: -0.187 hartree per atom
**Energy of formation**: -0.20 eV/atom
**V**: 15.53 Å³/atom



Computed, not measured: a geometry-optimized NbTeAu2 structure at the PBE-GGA level of DFT.

a b c (Å): 6.196 6.196 6.196
angles (deg): 101.46 101.46 127.05
Fractional coordinates of all 8 atoms:
Nb 0.000 0.000 0.000
Nb 0.750 0.250 0.500
Te 0.250 0.750 0.500
Te 0.500 0.500 0.000
Au 0.118 0.625 0.993
Au 0.375 0.368 0.493
Au 0.632 0.125 0.007
Au 0.875 0.882 0.507

**Formation energy (no corrections)**: 0.6 eV/f.u.
**Total DFT energy (no corrections)**: -0.176 hartree per atom
**V**: 21.24 Å³/atom



Computed, not measured: a geometry-optimized BeRuW2 structure at the PBE-GGA level of DFT.

a b c (Å): 4.308 4.308 4.308
angles (deg): 60.00 60.00 60.00
Fractional coordinates of all 4 atoms:
Be 0.000 0.000 0.000
Ru 0.500 0.500 0.500
W 0.250 0.250 0.250
W 0.750 0.750 0.750

**Distance to the lowest polymorph of the same formula**: 0.3819 eV/atom
**Total DFT energy (no corrections)**: -0.342 hartree per atom
**Energy of formation**: 0.41 eV/atom
**V**: 14.13 Å³/atom



Computed, not measured: a geometry-optimized YPaTeIr structure at the PBE-GGA level of DFT.

a b c (Å): 7.871 7.871 7.871
angles (deg): 29.97 29.97 29.97
Fractional coordinates of all 4 atoms:
Y 0.000 0.000 0.000
Pa 0.804 0.804 0.804
Te 0.235 0.235 0.235
Ir 0.409 0.409 0.409

**Formation energy (no corrections)**: -3.8 eV/f.u.
**Total DFT energy (no corrections)**: -0.292 hartree per atom
**V**: 26.95 Å³/atom



Computed, not measured: a geometry-optimized K4FeTc structure at the PBE-GGA level of DFT.

a b c (Å): 6.967 6.967 6.967
angles (deg): 60.00 60.00 60.00
Fractional coordinates of all 6 atoms:
K 0.125 0.125 0.125
K 0.125 0.125 0.625
K 0.125 0.625 0.125
K 0.625 0.125 0.125
Fe 0.500 0.500 0.500
Tc 0.750 0.750 0.750

**Total DFT energy (no corrections)**: -0.085 hartree per atom
**Energy of formation**: 1.55 eV/atom
**V**: 39.86 Å³/atom